No. 1
Below is a geometry-optimized Pr2SmSi2 structure, with properties calculated at the PBE-GGA level.

```
10
Lattice="-0.563 1.565 -4.091 -5.266 -2.951 -2.788 -7.219 6.952 1.269" Properties=species:S:1:pos:R:3 pbc="T T T"
Pr -7.039 4.536 -2.063
Pr -2.240 0.320 -1.953
Pr -6.009 1.031 -3.546
Pr -10.809 5.247 -3.656
Sm -9.558 2.072 -2.659
Sm -3.491 3.494 -2.950
Si -7.980 3.300 -4.790
Si -5.068 2.266 -0.819
Si -7.732 7.392 -3.259
Si -5.316 -1.826 -2.351
```

Values from the calculation:
offset from the most stable computed form: 6.3 kJ per mole of atoms
formation energy (no corrections): -0.577 eV per atom
size of the total moment: 0.00 μB/atom

***

No. 2
Below is a geometry-optimized Tm2FeSn structure, with properties calculated at the PBE-GGA level.

```
4
Lattice="-0.642 3.269 -0.960 -3.253 1.198 -0.004 -0.221 4.449 9.043" Properties=species:S:1:pos:R:3 pbc="T T T"
Tm -0.565 3.504 6.054
Tm -3.551 5.412 2.025
Fe -2.058 4.458 4.039
Sn 0.000 0.000 0.000
```

Values from the calculation:
offset from the most stable computed form: 44.6 kJ per mole of atoms
size of the total moment: 0.23 μB/atom

***

No. 3
Below is a geometry-optimized KTc2PbSe structure, with properties calculated at the PBE-GGA level.

```
5
Lattice="-2.740 -4.530 -0.186 5.053 -3.019 -0.889 0.582 -0.567 5.235" Properties=species:S:1:pos:R:3 pbc="T T T"
Se 2.526 -1.509 -0.444
K 1.448 -4.058 2.080
Pb 0.000 0.000 0.000
Tc -1.370 -2.265 -0.093
Tc 0.291 -0.284 2.617
```

Values from the calculation:
formation energy (no corrections): 1.418 eV per atom
size of the total moment: 1.38 μB/atom